Here is a crystal of CdOsS3 relaxed with PBEsol from the Alexandria database. Energies are from meta-GGA SCAN.

Properties
As for the density of states at the Fermi level: 5.72 states/eV/cell. As for the uncorrected formation energy: 411.9 meV/atom.

CIF file:
```
data_CdOsS3
_cell_length_a 4.612
_cell_length_b 4.612
_cell_length_c 4.612
_cell_angle_alpha 90.00
_cell_angle_beta 90.00
_cell_angle_gamma 90.00
_symmetry_space_group_name_H-M 'P m -3 m'
_symmetry_Int_Tables_number 221
_symmetry_space_group_name_Hall '-P 4 2 3'
loop_
_atom_site_label
_atom_site_fract_x
_atom_site_fract_y
_atom_site_fract_z
Cd1 0.000 0.000 0.000
Os1 0.500 0.500 0.500
S1 0.000 0.500 0.500
```

=====

Here is a crystal of TlCuIr2 relaxed with PBEsol from the Alexandria database. Energies are from meta-GGA SCAN.

Properties
As for the density of states at the Fermi level: 14.71 states/eV/cell. The calculation puts the formation energy at 2.48 eV per formula unit. As for the energy above the most stable polymorph in this dataset: 4.0 kJ per mole of atoms.

CIF file:
```
data_TlCuIr2
_cell_length_a 6.272
_cell_length_b 6.272
_cell_length_c 6.272
_cell_angle_alpha 90.00
_cell_angle_beta 90.00
_cell_angle_gamma 90.00
_symmetry_space_group_name_H-M 'F -4 3 m'
_symmetry_Int_Tables_number 216
_symmetry_space_group_name_Hall 'F -4 2 3'
loop_
_atom_site_label
_atom_site_fract_x
_atom_site_fract_y
_atom_site_fract_z
Tl1 0.000 0.000 0.000
Cu1 0.250 0.250 0.750
Ir1 0.000 0.000 0.500
Ir2 0.250 0.250 0.250
```

=====

Here is a crystal of SrAl12O19 relaxed with PBEsol from the Alexandria database. Energies are from meta-GGA SCAN.

Properties
As for the density of states at the Fermi level: 0.00 states/eV/cell. As for the uncorrected formation energy: -3379.2 meV/atom.

CIF file:
```
data_SrAl12O19
_cell_length_a 5.5852
_cell_length_b 5.5852
_cell_length_c 21.9643
_cell_angle_alpha 90.00
_cell_angle_beta 90.00
_cell_angle_gamma 120.00
_symmetry_space_group_name_H-M 'P 63 m c'
_symmetry_Int_Tables_number 186
_symmetry_space_group_name_Hall 'P 6c -2c'
loop_
_atom_site_label
_atom_site_fract_x
_atom_site_fract_y
_atom_site_fract_z
Sr1 0.3333 0.6667 0.0000
Al1 0.0000 0.0000 0.2482
Al2 0.0000 0.0000 0.4912
Al3 0.1677 0.3353 0.1394
Al4 0.1689 0.3377 0.8569
Al5 0.3333 0.6667 0.2769
Al6 0.3333 0.6667 0.4388
Al7 0.3333 0.6667 0.5577
Al8 0.3333 0.6667 0.7197
O1 0.0000 0.0000 0.0998
O2 0.0000 0.0000 0.3991
O3 0.0046 0.5023 0.0998
O4 0.0050 0.5025 0.8966
O5 0.1543 0.3086 0.3009
O6 0.1549 0.3098 0.6968
O7 0.1818 0.3636 0.4977
O8 0.3333 0.6667 0.1942
O9 0.3333 0.6667 0.8027
```

=====

Here is a crystal of YSc2Zn relaxed with PBEsol from the Alexandria database. Energies are from meta-GGA SCAN.

Properties
As for the density of states at the Fermi level: 4.45 states/eV/cell. The calculation puts the formation energy at -0.77 eV per formula unit.

CIF file:
```
data_YSc2Zn
_cell_length_a 3.312
_cell_length_b 3.312
_cell_length_c 8.237
_cell_angle_alpha 90.00
_cell_angle_beta 90.00
_cell_angle_gamma 90.00
_symmetry_space_group_name_H-M 'P 4/m m m'
_symmetry_Int_Tables_number 123
_symmetry_space_group_name_Hall '-P 4 2'
loop_
_atom_site_label
_atom_site_fract_x
_atom_site_fract_y
_atom_site_fract_z
Y1 0.000 0.000 0.000
Sc1 0.500 0.500 0.300
Zn1 0.000 0.000 0.500
```

=====

Here is a crystal of MgMn2Si relaxed with PBEsol from the Alexandria database. Energies are from meta-GGA SCAN.

Properties
As for the density of states at the Fermi level: 2.01 states/eV/cell. As for the uncorrected formation energy: -150.8 meV/atom.

CIF file:
```
data_MgMn2Si
_cell_length_a 2.703
_cell_length_b 2.703
_cell_length_c 7.245
_cell_angle_alpha 90.00
_cell_angle_beta 90.00
_cell_angle_gamma 90.00
_symmetry_space_group_name_H-M 'P 4/m m m'
_symmetry_Int_Tables_number 123
_symmetry_space_group_name_Hall '-P 4 2'
loop_
_atom_site_label
_atom_site_fract_x
_atom_site_fract_y
_atom_site_fract_z
Mg1 0.000 0.000 0.000
Mn1 0.500 0.500 0.291
Si1 0.000 0.000 0.500
```

=====

Here is a crystal of AlTcNi6 relaxed with PBEsol from the Alexandria database. Energies are from meta-GGA SCAN.

Properties
As for the density of states at the Fermi level: 59.04 states/eV/cell. The calculation puts the formation energy at -1.47 eV per formula unit.

CIF file:
```
data_AlTcNi6
_cell_length_a 7.072
_cell_length_b 10.005
_cell_length_c 10.004
_cell_angle_alpha 90.00
_cell_angle_beta 90.00
_cell_angle_gamma 90.00
_symmetry_space_group_name_H-M 'C m m m'
_symmetry_Int_Tables_number 65
_symmetry_space_group_name_Hall '-C 2 2'
loop_
_atom_site_label
_atom_site_fract_x
_atom_site_fract_y
_atom_site_fract_z
Al1 0.000 0.000 0.248
Al2 0.000 0.251 0.000
Tc1 0.000 0.250 0.500
Tc2 0.000 0.500 0.246
Ni1 0.000 0.000 0.000
Ni2 0.000 0.000 0.500
Ni3 0.000 0.251 0.251
Ni4 0.000 0.500 0.000
Ni5 0.000 0.500 0.500
Ni6 0.250 0.124 0.125
Ni7 0.250 0.125 0.374
```

=====

What is the formula in the second record? TlCuIr2